# 1
VASP calculation (PBE) on Pr2BeSi3 after structural relaxation.

Properties
Formation energy (no corrections) in eV per atom: -0.665
Energy relative to the lowest polymorph listed for this composition in eV/atom: 0.020
Theoretical density in g cm⁻³: 5.21
Volume in A^3/atom: 19.94
Density of states at the Fermi level in states/eV/atom: 0.25

Cell and atoms, written as POSCAR:
```
Pr2BeSi3
1.0
4.339 0.000 0.000
0.000 4.011 0.000
0.000 0.000 6.874
Pr Si Be
2 3 1
direct
0.000 0.000 0.501
0.000 0.500 0.000
0.500 0.000 0.181
0.500 0.500 0.653
0.500 0.000 0.837
0.500 0.500 0.328
```

***

# 2
VASP calculation (PBE) on PrTmBe2Si2 after structural relaxation.

Properties
Formation energy (no corrections) in eV per atom: -0.613
Theoretical density in g cm⁻³: 5.86
Volume in A^3/atom: 18.15
Density of states at the Fermi level in states/eV/atom: 0.47

Cell and atoms, written as POSCAR:
```
PrTmBe2Si2
1.0
-3.275 -1.666 1.311
0.954 -0.275 -3.773
4.166 -6.960 1.561
Si Tm Be Pr
2 1 2 1
direct
0.667 0.333 0.736
0.333 0.667 0.264
0.000 0.000 0.500
0.333 0.667 0.735
0.667 0.333 0.265
0.000 0.000 0.000
```

***

# 3
VASP calculation (PBE) on Pr2SmBe after structural relaxation.

Properties
Energy relative to the lowest polymorph listed for this composition in eV/atom: 0.565
Theoretical density in g cm⁻³: 5.72
Volume in A^3/atom: 32.04
Density of states at the Fermi level in states/eV/atom: 1.28
ΔE_f in eV/atom: 0.70

Cell and atoms, written as POSCAR:
```
Pr2SmBe
1.0
-1.461 -3.178 0.549
2.018 -2.723 1.025
-1.731 0.865 11.823
Pr Be Sm
2 1 1
direct
0.916 0.916 0.251
0.084 0.084 0.749
0.000 0.000 0.000
0.500 0.500 0.500
```

***

The highest density of states at the Fermi level belongs to which entry? Pr2SmBe

***

Number 3 is which compound? Pr2SmBe

***

Which of these has the highest density of states at the Fermi level? Pr2SmBe